Record 1
# KTbCr2O8, relaxed, DFT GGA-PBEsol
data_KTbCr2O8
_chemical_formula_sum 'K4 Tb4 Cr8 O32'
_symmetry_space_group_name_H-M 'P 1'
_symmetry_Int_Tables_number 1
_cell_length_a 5.6524
_cell_length_b 9.1606
_cell_length_c 13.5589
_cell_angle_alpha 90.00
_cell_angle_beta 90.00
_cell_angle_gamma 90.00
loop_
_symmetry_equiv_pos_as_xyz
'x,y,z'
loop_
_atom_site_label
_atom_site_type_symbol
_atom_site_fract_x
_atom_site_fract_y
_atom_site_fract_z
_atom_site_occupancy
O1 O 0.0305 0.6147 0.0933 1
O2 O 0.4787 0.6942 0.6039 1
Cr1 Cr 0.2307 0.3504 0.6597 1
O3 O 0.6607 0.0103 0.2702 1
O4 O 0.5115 0.7556 0.3897 1
O5 O 0.0213 0.3058 0.1039 1
O6 O 0.1895 0.1051 0.2266 1
O7 O 0.2632 0.1964 0.7200 1
O8 O 0.0116 0.7444 0.6103 1
O9 O 0.4983 0.1601 0.4145 1
K1 K 0.7946 0.8949 0.0967 1
O10 O 0.2368 0.8036 0.2200 1
Cr2 Cr 0.2256 0.1809 0.1174 1
K2 K 0.7054 0.1051 0.5967 1
O11 O 0.0017 0.8399 0.9145 1
Cr3 Cr 0.2693 0.6496 0.1597 1
Cr4 Cr 0.7744 0.6809 0.3826 1
Cr5 Cr 0.7256 0.3191 0.8826 1
O12 O 0.1607 0.4897 0.7298 1
Cr6 Cr 0.2744 0.8191 0.6174 1
O13 O 0.3105 0.8949 0.7266 1
O14 O 0.7368 0.6964 0.7800 1
O15 O 0.8105 0.6051 0.2734 1
O16 O 0.8393 0.9897 0.7702 1
O17 O 0.6895 0.3949 0.7734 1
O18 O 0.3056 0.9445 0.5311 1
O19 O 0.9983 0.3399 0.5855 1
Cr7 Cr 0.7693 0.8504 0.8403 1
K3 K 0.2054 0.3949 0.4033 1
O20 O 0.3393 0.5103 0.2298 1
O21 O 0.9695 0.1147 0.4067 1
Cr8 Cr 0.7307 0.1496 0.3403 1
O22 O 0.7632 0.3036 0.2800 1
O23 O 0.5305 0.8853 0.9067 1
O24 O 0.4695 0.3853 0.5933 1
O25 O 0.5017 0.6601 0.0855 1
O26 O 0.1944 0.0555 0.0311 1
Tb1 Tb 0.2810 0.9550 0.3577 1
O27 O 0.4884 0.2556 0.1103 1
K4 K 0.2946 0.6051 0.9033 1
O28 O 0.8056 0.5555 0.4689 1
O29 O 0.6944 0.4445 0.9689 1
O30 O 0.5213 0.1942 0.8961 1
Tb2 Tb 0.7810 0.5450 0.6423 1
Tb3 Tb 0.2190 0.0450 0.8577 1
O31 O 0.9787 0.8058 0.3961 1
O32 O 0.9884 0.2444 0.8897 1
Tb4 Tb 0.7190 0.4550 0.1423 1
# - N(E_F) (states/eV per atom) = 0.00
# - M_tot (μB/f.u.) = 0.00
# - total energy (eV per atom) = -8.001

=====

Record 2
# NaCu2Ge2, relaxed, DFT GGA-PBEsol
data_NaCu2Ge2
_chemical_formula_sum 'Na1 Cu2 Ge2'
_symmetry_space_group_name_H-M 'P 1'
_symmetry_Int_Tables_number 1
_cell_length_a 4.0972
_cell_length_b 4.0972
_cell_length_c 5.7906
_cell_angle_alpha 110.72
_cell_angle_beta 110.72
_cell_angle_gamma 90.00
loop_
_symmetry_equiv_pos_as_xyz
'x,y,z'
loop_
_atom_site_label
_atom_site_type_symbol
_atom_site_fract_x
_atom_site_fract_y
_atom_site_fract_z
_atom_site_occupancy
Cu1 Cu 0.7500 0.2500 0.5000 1
Ge1 Ge 0.6237 0.6237 0.2475 1
Cu2 Cu 0.2500 0.7500 0.5000 1
Na1 Na 0.0000 0.0000 0.0000 1
Ge2 Ge 0.3763 0.3763 0.7525 1
# - energy above the most stable polymorph in this dataset (eV/atom) = 0.000
# - N(E_F) (states/eV per atom) = 0.39
# - M_tot (μB/f.u.) = 0.00
# - ΔH_f (0 K) (eV/atom) = -0.04

=====

Record 3
# KLiPb2, relaxed, DFT GGA-PBEsol
data_KLiPb2
_chemical_formula_sum 'K1 Li1 Pb2'
_symmetry_space_group_name_H-M 'P 1'
_symmetry_Int_Tables_number 1
_cell_length_a 4.7286
_cell_length_b 4.7286
_cell_length_c 5.1867
_cell_angle_alpha 90.00
_cell_angle_beta 90.00
_cell_angle_gamma 90.00
loop_
_symmetry_equiv_pos_as_xyz
'x,y,z'
loop_
_atom_site_label
_atom_site_type_symbol
_atom_site_fract_x
_atom_site_fract_y
_atom_site_fract_z
_atom_site_occupancy
Pb1 Pb 0.0000 0.5000 0.0000 1
Li1 Li 0.0000 0.0000 0.5000 1
K1 K 0.5000 0.5000 0.5000 1
Pb2 Pb 0.5000 0.0000 0.0000 1
# - energy above the most stable polymorph in this dataset (eV/atom) = 0.163
# - N(E_F) (states/eV per atom) = 0.44
# - M_tot (μB/f.u.) = 0.00
# - ΔH_f (0 K) (eV/atom) = -0.06

=====

Record 4
# LiLaSb, relaxed, DFT GGA-PBEsol
data_LiLaSb
_chemical_formula_sum 'Li1 La1 Sb1'
_symmetry_space_group_name_H-M 'P 1'
_symmetry_Int_Tables_number 1
_cell_length_a 3.4198
_cell_length_b 3.4198
_cell_length_c 8.1083
_cell_angle_alpha 90.00
_cell_angle_beta 90.00
_cell_angle_gamma 120.00
loop_
_symmetry_equiv_pos_as_xyz
'x,y,z'
loop_
_atom_site_label
_atom_site_type_symbol
_atom_site_fract_x
_atom_site_fract_y
_atom_site_fract_z
_atom_site_occupancy
La1 La 0.0000 0.0000 0.0235 1
Sb1 Sb 0.6667 0.3333 0.3519 1
Li1 Li 0.3333 0.6667 0.6245 1
# - energy above the most stable polymorph in this dataset (eV/atom) = 0.676
# - N(E_F) (states/eV per atom) = 0.90
# - M_tot (μB/f.u.) = 0.00

=====

Record 5
# Cd2C, relaxed, DFT GGA-PBEsol
data_Cd2C
_chemical_formula_sum 'Cd4 C2'
_symmetry_space_group_name_H-M 'P 1'
_symmetry_Int_Tables_number 1
_cell_length_a 3.2310
_cell_length_b 5.5741
_cell_length_c 5.7470
_cell_angle_alpha 90.00
_cell_angle_beta 106.33
_cell_angle_gamma 90.00
loop_
_symmetry_equiv_pos_as_xyz
'x,y,z'
loop_
_atom_site_label
_atom_site_type_symbol
_atom_site_fract_x
_atom_site_fract_y
_atom_site_fract_z
_atom_site_occupancy
Cd1 Cd 0.2607 0.1221 0.5213 1
Cd2 Cd 0.7393 0.6221 0.4787 1
Cd3 Cd 0.5231 0.1295 0.0463 1
Cd4 Cd 0.4769 0.6295 0.9537 1
C1 C 0.8872 0.9150 0.7744 1
C2 C 0.1128 0.4150 0.2256 1
# - energy above the most stable polymorph in this dataset (eV/atom) = 0.000
# - N(E_F) (states/eV per atom) = 0.23
# - M_tot (μB/f.u.) = 0.00
# - ΔH_f (0 K) (eV/atom) = 1.20

=====

Record 6
# SrEuNiO4, relaxed, DFT GGA-PBEsol
data_SrEuNiO4
_chemical_formula_sum 'Sr2 Eu2 Ni2 O8'
_symmetry_space_group_name_H-M 'P 1'
_symmetry_Int_Tables_number 1
_cell_length_a 5.3235
_cell_length_b 5.3287
_cell_length_c 6.5506
_cell_angle_alpha 90.00
_cell_angle_beta 113.97
_cell_angle_gamma 90.00
loop_
_symmetry_equiv_pos_as_xyz
'x,y,z'
loop_
_atom_site_label
_atom_site_type_symbol
_atom_site_fract_x
_atom_site_fract_y
_atom_site_fract_z
_atom_site_occupancy
O1 O 0.5000 0.5000 0.5000 1
O2 O 0.0000 0.0000 0.5000 1
O3 O 0.4060 0.2500 0.8120 1
O4 O 0.5940 0.7500 0.1880 1
Eu1 Eu 0.8866 0.2500 0.7731 1
O5 O 0.9175 0.7500 0.8349 1
Eu2 Eu 0.1134 0.7500 0.2269 1
Sr1 Sr 0.3940 0.7500 0.7881 1
Ni1 Ni 0.7516 0.7500 0.5033 1
Ni2 Ni 0.2484 0.2500 0.4967 1
O6 O 0.5000 0.0000 0.5000 1
O7 O 0.0825 0.2500 0.1651 1
O8 O 0.0000 0.5000 0.5000 1
Sr2 Sr 0.6060 0.2500 0.2119 1
# - energy above the most stable polymorph in this dataset (eV/atom) = 0.009
# - N(E_F) (states/eV per atom) = 1.54
# - M_tot (μB/f.u.) = 6.20

=====

Record 7
# Sm3AlNiS7, relaxed, DFT GGA-PBEsol
data_Sm3AlNiS7
_chemical_formula_sum 'Sm6 Al2 Ni2 S14'
_symmetry_space_group_name_H-M 'P 1'
_symmetry_Int_Tables_number 1
_cell_length_a 6.1548
_cell_length_b 9.5429
_cell_length_c 9.5429
_cell_angle_alpha 120.00
_cell_angle_beta 90.00
_cell_angle_gamma 90.00
loop_
_symmetry_equiv_pos_as_xyz
'x,y,z'
loop_
_atom_site_label
_atom_site_type_symbol
_atom_site_fract_x
_atom_site_fract_y
_atom_site_fract_z
_atom_site_occupancy
S1 S 0.1844 0.7719 0.8994 1
Sm1 Sm 0.2729 0.7870 0.6242 1
Al1 Al 0.3482 0.3333 0.6667 1
S2 S 0.1844 0.1275 0.2281 1
S3 S 0.9874 0.3333 0.6667 1
S4 S 0.6844 0.8725 0.7719 1
S5 S 0.6844 0.8994 0.1275 1
S6 S 0.4944 0.0855 0.5251 1
S7 S 0.4874 0.6667 0.3333 1
Ni1 Ni 0.9452 0.0000 0.0000 1
Sm2 Sm 0.7729 0.6242 0.8372 1
Sm3 Sm 0.2729 0.8372 0.2130 1
Sm4 Sm 0.7729 0.1628 0.7870 1
S8 S 0.4944 0.4749 0.5604 1
S9 S 0.9944 0.5604 0.0855 1
Sm5 Sm 0.2729 0.3758 0.1628 1
Al2 Al 0.8482 0.6667 0.3333 1
S10 S 0.4944 0.4396 0.9145 1
Sm6 Sm 0.7729 0.2130 0.3758 1
Ni2 Ni 0.4452 0.0000 0.0000 1
S11 S 0.6844 0.2281 0.1006 1
S12 S 0.9944 0.5251 0.4396 1
S13 S 0.1844 0.1006 0.8725 1
S14 S 0.9944 0.9145 0.4749 1
# - N(E_F) (states/eV per atom) = 0.07
# - M_tot (μB/f.u.) = 2.03
# - total energy (eV per atom) = -6.284

=====

Record 8
# AsOsRu2O, relaxed, DFT GGA-PBEsol
data_AsOsRu2O
_chemical_formula_sum 'As1 Os1 Ru2 O1'
_symmetry_space_group_name_H-M 'P 1'
_symmetry_Int_Tables_number 1
_cell_length_a 4.5035
_cell_length_b 4.4960
_cell_length_c 4.4960
_cell_angle_alpha 90.00
_cell_angle_beta 90.00
_cell_angle_gamma 90.00
loop_
_symmetry_equiv_pos_as_xyz
'x,y,z'
loop_
_atom_site_label
_atom_site_type_symbol
_atom_site_fract_x
_atom_site_fract_y
_atom_site_fract_z
_atom_site_occupancy
Ru1 Ru 0.0000 0.5000 0.0000 1
Os1 Os 0.5000 0.0000 0.0000 1
Ru2 Ru 0.0000 0.0000 0.5000 1
O1 O 0.5000 0.5000 0.5000 1
As1 As 0.0000 0.0000 0.0000 1
# - N(E_F) (states/eV per atom) = 0.89
# - M_tot (μB/f.u.) = 5.01
# - total energy (eV per atom) = -6.518

=====

Record 9
# LiSn2Sb2, relaxed, DFT GGA-PBEsol
data_LiSn2Sb2
_chemical_formula_sum 'Li1 Sn2 Sb2'
_symmetry_space_group_name_H-M 'P 1'
_symmetry_Int_Tables_number 1
_cell_length_a 4.2581
_cell_length_b 4.2581
_cell_length_c 8.3136
_cell_angle_alpha 104.84
_cell_angle_beta 104.84
_cell_angle_gamma 90.00
loop_
_symmetry_equiv_pos_as_xyz
'x,y,z'
loop_
_atom_site_label
_atom_site_type_symbol
_atom_site_fract_x
_atom_site_fract_y
_atom_site_fract_z
_atom_site_occupancy
Sb1 Sb 0.4100 0.4100 0.8201 1
Sn1 Sn 0.7500 0.2500 0.5000 1
Sb2 Sb 0.5900 0.5900 0.1799 1
Li1 Li 0.0000 0.0000 0.0000 1
Sn2 Sn 0.2500 0.7500 0.5000 1
# - N(E_F) (states/eV per atom) = 0.45
# - M_tot (μB/f.u.) = 0.00
# - total energy (eV per atom) = -3.896

=====

Record 10
# BaSrAl2, relaxed, DFT GGA-PBEsol
data_BaSrAl2
_chemical_formula_sum 'Ba1 Sr1 Al2'
_symmetry_space_group_name_H-M 'P 1'
_symmetry_Int_Tables_number 1
_cell_length_a 4.0632
_cell_length_b 4.0632
_cell_length_c 7.7341
_cell_angle_alpha 90.00
_cell_angle_beta 90.00
_cell_angle_gamma 90.00
loop_
_symmetry_equiv_pos_as_xyz
'x,y,z'
loop_
_atom_site_label
_atom_site_type_symbol
_atom_site_fract_x
_atom_site_fract_y
_atom_site_fract_z
_atom_site_occupancy
Al1 Al 0.0000 0.0000 0.7070 1
Ba1 Ba 0.5000 0.5000 0.0000 1
Al2 Al 0.0000 0.0000 0.2930 1
Sr1 Sr 0.5000 0.5000 0.5000 1
# - energy above the most stable polymorph in this dataset (eV/atom) = 0.056
# - N(E_F) (states/eV per atom) = 0.60
# - M_tot (μB/f.u.) = 0.00
# - ΔH_f (0 K) (eV/atom) = -0.06

=====

Record 11
# Co2Re, relaxed, DFT GGA-PBEsol
data_Co2Re
_chemical_formula_sum 'Co2 Re1'
_symmetry_space_group_name_H-M 'P 1'
_symmetry_Int_Tables_number 1
_cell_length_a 2.5670
_cell_length_b 3.5525
_cell_length_c 4.3579
_cell_angle_alpha 114.05
_cell_angle_beta 107.13
_cell_angle_gamma 90.00
loop_
_symmetry_equiv_pos_as_xyz
'x,y,z'
loop_
_atom_site_label
_atom_site_type_symbol
_atom_site_fract_x
_atom_site_fract_y
_atom_site_fract_z
_atom_site_occupancy
Re1 Re 0.0000 0.0000 0.0000 1
Co1 Co 0.6678 0.6678 0.3357 1
Co2 Co 0.3322 0.3322 0.6643 1
# - energy above the most stable polymorph in this dataset (eV/atom) = 0.064
# - N(E_F) (states/eV per atom) = 1.36
# - M_tot (μB/f.u.) = 0.00
# - ΔH_f (0 K) (eV/atom) = -0.02

=====

> What is the M_tot in the second record?

0.00 μB/f.u.